1.
Entry from Alexandria: a relaxed Sr6Al2Hg crystal (PBE).

It has space group Immm (No. 71), with a = 10.805 Å, b = 11.222 Å, c = 11.776 Å, α = 90.00°, β = 90.00° and γ = 90.00°. The distinct sites, in fractional coordinates, are Sr at (0.000, 0.202, 0.174), Sr at (0.179, 0.237, 0.500), Sr at (0.203, 0.500, 0.251), Al at (0.000, 0.000, 0.391), Al at (0.130, 0.000, 0.000), Hg at (0.000, 0.500, 0.000) and Hg at (0.000, 0.500, 0.500).

As for the magnetization: 0.02 Bohr magnetons per cell. Its total energy is -2.14 eV per atom. For the energy of formation, the calculation gives -14.9 kJ/mol of atoms.

2.
Entry from Alexandria: a relaxed SrAlHg crystal (PBE).

It has space group P-6m2 (No. 187), with a = 4.8259 Å, b = 4.8259 Å, c = 4.0772 Å, α = 90.00°, β = 90.00° and γ = 120.00°. The distinct sites, in fractional coordinates, are Sr at (0.0000, 0.0000, 0.0000), Al at (0.6667, 0.3333, 0.5000) and Hg at (0.3333, 0.6667, 0.5000).

As for the magnetization: 0.00 Bohr magnetons per cell. Its total energy is -2.26 eV per atom. The offset from the most stable computed form comes out at 0.041 eV/atom. For the energy of formation, the calculation gives -34.3 kJ/mol of atoms.